# 1
The following is a DFT calculation (GGA-PBE) of a relaxed Cd3In6Pb crystal.

Computed properties:
Total magnetic moment (μB/cell): 0.00
Final energy (eV/atom): -2.25
Energy of formation (meV per atom): 38

Unit cell a=12.4728 b=3.3155 c=13.0248 alpha=90.00 beta=98.40 gamma=90.00
With the nearest neighbours (Å) after each atom.
Space group P2_1/m (No. 11)
One atom of each set of equivalent atoms:
Cd 0.0704 0.2500 0.0904 x2  4 Cd 3.19-3.32, 6 In 3.22-3.46, 2 Pb 3.42
Cd 0.3640 0.7500 0.4962 x2  5 In 3.02-3.28, 2 Cd 3.32
Cd 0.4236 0.2500 0.9005 x2  8 In 3.06-3.40, 4 Cd 3.32-3.41
In 0.1236 0.2500 0.4824 x2  8 In 3.32-3.63, 2 Cd 3.41, 3 Pb 3.41-3.50
In 0.1915 0.7500 0.9295 x2  5 Cd 3.22-3.40, 5 In 3.29-3.33, 2 Pb 3.51
In 0.2241 0.7500 0.2782 x2  3 Cd 3.11-3.32, 5 In 3.27-3.32, 1 Pb 3.28
In 0.2788 0.7500 0.7033 x2  3 Cd 3.04-3.35, 5 In 3.29-3.36
In 0.3501 0.2500 0.1149 x2  3 Cd 3.06-3.30, 8 In 3.27-3.37
In 0.4905 0.7500 0.3158 x2  4 Cd 3.02-3.28, 7 In 3.29-3.37
Pb 0.0389 0.2500 0.7198 x2  8 In 3.28-3.51, 2 Pb 3.32, 2 Cd 3.42

***

# 2
The following is a DFT calculation (GGA-PBE) of a relaxed Cd9In2Pb crystal.

Computed properties:
Distance to the lowest polymorph of the same formula (eV/atom): 0.032
Total magnetic moment (μB/cell): 0.00
Final energy (eV/atom): -1.38
Energy of formation (meV per atom): 71

Unit cell a=10.4744 b=10.4744 c=3.1373 alpha=90.00 beta=90.00 gamma=120.00
With the nearest neighbours (Å) after each atom.
Space group P6/mmm (No. 191)
One atom of each set of equivalent atoms:
Cd 0.0000 0.5000 0.0000 x3  2 In 3.02, 10 Cd 3.14-3.35
Cd 0.1742 0.3484 0.5000 x6  8 Cd 3.14-3.35, 2 In 3.29
In 0.3333 0.6667 0.0000 x2  9 Cd 3.02-3.29, 2 In 3.14
Pb 0.0000 0.0000 0.0000 x1  2 Pb 3.14

***

# 3
The following is a DFT calculation (GGA-PBE) of a relaxed CdInPb2 crystal.

Computed properties:
Distance to the lowest polymorph of the same formula (eV/atom): 0.000
Total magnetic moment (μB/cell): 0.00
Final energy (eV/atom): -2.74
Energy of formation (meV per atom): 29

Unit cell a=3.3888 b=3.3888 c=34.7985 alpha=90.00 beta=90.00 gamma=120.00
With the nearest neighbours (Å) after each atom.
Space group R-3m (No. 166, hexagonal axes)
One atom of each set of equivalent atoms:
Cd 0.0000 0.0000 0.0000 x3  6 Cd 3.39, 6 Pb 3.44
In 0.0000 0.0000 0.5000 x3  6 In 3.39, 6 Pb 3.56
Pb 0.0000 0.0000 0.2522 x6  6 Pb 3.39, 3 Cd 3.44, 3 In 3.56

***

# 4
The following is a DFT calculation (GGA-PBE) of a relaxed Cd6InPb crystal.

Computed properties:
Distance to the lowest polymorph of the same formula (eV/atom): 0.000
Total magnetic moment (μB/cell): 0.00
Final energy (eV/atom): -1.46
Energy of formation (meV per atom): 34

Unit cell a=10.4376 b=4.6335 c=9.0996 alpha=90.00 beta=116.73 gamma=90.00
With the nearest neighbours (Å) after each atom.
Space group C2/m (No. 12)
One atom of each set of equivalent atoms:
Cd 0.0085 0.0000 0.2484 x4  8 Cd 3.20-3.35, 2 In 3.21, 2 Pb 3.29
Cd 0.2482 0.0000 0.1177 x4  8 Cd 3.17-3.35, 3 In 3.25-3.28, 1 Pb 3.28
Cd 0.2491 0.0000 0.6292 x4  1 In 3.21, 8 Cd 3.24-3.34, 3 Pb 3.28-3.32
In 0.0000 0.5000 0.0000 x2  12 Cd 3.21-3.28
Pb 0.0000 0.5000 0.5000 x2  12 Cd 3.28-3.32

***

# 5
The following is a DFT calculation (GGA-PBE) of a relaxed CdIn16Pb12 crystal.

Computed properties:
Total magnetic moment (μB/cell): 0.00
Final energy (eV/atom): -3.03
Energy of formation (meV per atom): 49

Unit cell a=12.0062 b=17.0451 c=10.3657 alpha=90.00 beta=125.12 gamma=90.00
With the nearest neighbours (Å) after each atom.
Space group Cm (No. 8)
One atom of each set of equivalent atoms:
Cd 0.0000 0.0000 0.0000 x2  5 Pb 3.12-3.31, 1 In 3.18
In 0.0870 0.2093 0.0339 x4  5 Pb 3.20-3.46, 3 In 3.28-3.51
In 0.2032 0.5000 0.4553 x2  5 Pb 3.24-3.37, 5 In 3.48-3.62
In 0.2485 0.3581 0.7419 x4  5 Pb 3.20-3.46, 3 In 3.31-3.58, 1 Cd 3.58
In 0.2846 0.2868 0.4174 x4  5 Pb 3.20-3.39, 3 In 3.31-3.55
In 0.2976 0.0000 0.0774 x2  1 Cd 3.18, 2 In 3.36, 2 Pb 3.51
In 0.3098 0.0000 0.7402 x2  4 In 3.56-3.77, 7 Pb 3.63-3.89
In 0.3726 0.3364 0.1471 x4  5 Pb 3.22-3.42, 4 In 3.43-3.58
In 0.4483 0.5000 0.3767 x2  4 In 3.43-3.77, 9 Pb 3.64-3.83
In 0.4657 0.1502 0.3272 x4  5 Pb 3.25-3.45, 5 In 3.36-3.64
In 0.4714 0.1731 0.7312 x4  4 In 3.28-3.56, 4 Pb 3.53-3.66
Pb 0.0982 0.4018 0.1240 x4  5 In 3.20-3.41, 3 Pb 3.26-3.35
Pb 0.1084 0.1917 0.5335 x4  6 In 3.25-3.61, 3 Pb 3.28-3.36
Pb 0.1990 0.0973 0.3322 x4  4 In 3.20-3.42, 3 Pb 3.28-3.38, 1 Cd 3.29
Pb 0.2159 0.5000 0.9453 x2  1 Cd 3.12, 3 Pb 3.27-3.35, 4 In 3.34-3.38
Pb 0.3017 0.1840 0.9293 x4  6 In 3.22-3.51, 3 Pb 3.26-3.37
Pb 0.4950 0.4043 0.7187 x4  4 In 3.20-3.39, 3 Pb 3.26-3.37, 1 Cd 3.31
Pb 0.4968 0.0000 0.5621 x2  7 In 3.24-3.53, 3 Pb 3.27-3.38

***

# 6
The following is a DFT calculation (GGA-PBE) of a relaxed Cd5In8Pb crystal.

Computed properties:
Total magnetic moment (μB/cell): 0.00
Final energy (eV/atom): -2.09
Energy of formation (meV per atom): 63

Unit cell a=9.6033 b=9.6033 c=8.2801 alpha=90.00 beta=90.00 gamma=90.00
With the nearest neighbours (Å) after each atom.
Space group I-4 (No. 82)
One atom of each set of equivalent atoms:
Cd 0.0000 0.0000 0.0000 x2  8 In 3.03-3.35
Cd 0.1300 0.8587 0.3963 x8  5 In 2.97-3.32, 2 Cd 3.12
In 0.0504 0.6650 0.0986 x8  3 Cd 3.18-3.50, 6 In 3.20-3.43, 1 Pb 3.33
In 0.1400 0.8102 0.7574 x8  5 Cd 2.97-3.32, 3 In 3.20-3.27, 1 Pb 3.27
Pb 0.0000 0.5000 0.7500 x2  8 In 3.27-3.33

***

# 7
The following is a DFT calculation (GGA-PBE) of a relaxed Cd3In5Pb3 crystal.

Computed properties:
Total magnetic moment (μB/cell): 0.00
Final energy (eV/atom): -2.40
Energy of formation (meV per atom): 108

Unit cell a=10.8003 b=10.8003 c=3.2231 alpha=90.00 beta=90.00 gamma=120.00
With the nearest neighbours (Å) after each atom.
Space group P-62m (No. 189)
One atom of each set of equivalent atoms:
Cd 0.0000 0.8395 0.0000 x3  4 Cd 3.00-3.22, 2 In 3.02, 2 Pb 3.17
In 0.0000 0.3225 0.0000 x3  2 Cd 3.02, 2 In 3.22, 2 Pb 3.27
In 0.3333 0.6667 0.0000 x2  2 In 3.22
Pb 0.0000 0.5864 0.5000 x3  2 Cd 3.17, 2 Pb 3.22, 2 In 3.27

***

# 8
The following is a DFT calculation (GGA-PBE) of a relaxed Cd2In7Pb2 crystal.

Computed properties:
Total magnetic moment (μB/cell): 0.00
Final energy (eV/atom): -2.52
Energy of formation (meV per atom): 63

Unit cell a=9.5019 b=8.9506 c=7.3792 alpha=90.00 beta=97.98 gamma=90.00
With the nearest neighbours (Å) after each atom.
Space group C2/m (No. 12)
One atom of each set of equivalent atoms:
Cd 0.0944 0.0000 0.3531 x4  1 Cd 3.00, 5 In 3.11-3.33, 2 Pb 3.19
In 0.0000 0.5000 0.5000 x2  10 In 3.42-3.62
In 0.1793 0.5000 0.9353 x4  1 Cd 3.23, 4 Pb 3.24-3.51, 5 In 3.28-3.42
In 0.2188 0.1907 0.6894 x8  3 Cd 3.11-3.41, 4 In 3.12-3.41, 2 Pb 3.30-3.41
Pb 0.0000 0.2011 0.0000 x4  2 Cd 3.19, 8 In 3.24-3.51

***

# 9
The following is a DFT calculation (GGA-PBE) of a relaxed Cd4In2Pb5 crystal.

Computed properties:
Total magnetic moment (μB/cell): 0.00
Final energy (eV/atom): -2.45
Energy of formation (meV per atom): 63

Unit cell a=8.9074 b=3.4050 c=10.4994 alpha=90.00 beta=101.50 gamma=90.00
With the nearest neighbours (Å) after each atom.
Space group P2/m (No. 10)
One atom of each set of equivalent atoms:
Cd 0.1914 0.0000 0.3889 x2  2 In 3.10, 4 Pb 3.25-3.30, 2 Cd 3.40
Cd 0.2527 0.0000 0.9334 x2  4 In 3.29-3.47, 6 Pb 3.33-3.39, 2 Cd 3.40
In 0.0931 0.5000 0.1398 x2  3 In 3.07-3.40, 4 Cd 3.10-3.29, 2 Pb 3.34-3.42
Pb 0.1559 0.5000 0.6503 x2  6 Cd 3.30-3.48, 3 Pb 3.40-3.45, 1 In 3.42
Pb 0.4738 0.5000 0.1721 x2  4 Cd 3.33-3.34, 1 In 3.34, 4 Pb 3.40-3.45
Pb 0.5000 0.5000 0.5000 x1  4 Cd 3.25, 4 Pb 3.40

***

# 10
The following is a DFT calculation (GGA-PBE) of a relaxed Cd4InPb2 crystal.

Computed properties:
Distance to the lowest polymorph of the same formula (eV/atom): 0.263
Total magnetic moment (μB/cell): 0.00
Final energy (eV/atom): -1.67
Energy of formation (meV per atom): 304

Unit cell a=5.6018 b=5.6018 c=15.2065 alpha=90.00 beta=90.00 gamma=90.00
With the nearest neighbours (Å) after each atom.
Space group I4/mmm (No. 139)
One atom of each set of equivalent atoms:
Cd 0.0000 0.0000 0.1920 x4  1 In 2.92, 1 Pb 2.99
Cd 0.0000 0.5000 0.0000 x4  2 In 2.80
In 0.0000 0.0000 0.0000 x2  6 Cd 2.80-2.92
Pb 0.0000 0.0000 0.3884 x4  5 Cd 2.99-3.27

***

# 11
The following is a DFT calculation (GGA-PBE) of a relaxed Cd3In2Pb crystal.

Computed properties:
Distance to the lowest polymorph of the same formula (eV/atom): 0.000
Total magnetic moment (μB/cell): 0.00
Final energy (eV/atom): -1.96
Energy of formation (meV per atom): 29

Unit cell a=14.1189 b=4.6955 c=10.4286 alpha=90.00 beta=116.48 gamma=90.00
With the nearest neighbours (Å) after each atom.
Space group C2/m (No. 12)
One atom of each set of equivalent atoms:
Cd 0.0472 0.0000 0.3908 x4  8 Cd 3.11-3.32, 3 In 3.28-3.30, 1 Pb 3.32
Cd 0.1198 0.5000 0.6115 x4  8 Cd 3.11-3.35, 3 In 3.22-3.28, 1 Pb 3.31
Cd 0.2117 0.5000 0.3907 x4  8 Cd 3.11-3.35, 2 Pb 3.31, 2 In 3.33-3.34
In 0.0400 0.5000 0.8569 x4  4 Cd 3.22-3.33, 3 In 3.25-3.56, 4 Pb 3.38-3.54
In 0.1995 0.0000 0.8569 x4  5 In 3.25-3.56, 4 Cd 3.28-3.34, 3 Pb 3.34-3.49
Pb 0.1310 0.0000 0.1401 x4  4 Cd 3.31-3.32, 7 In 3.34-3.54, 1 Pb 3.55

***

# 12
The following is a DFT calculation (GGA-PBE) of a relaxed CdInPb crystal.

Computed properties:
Distance to the lowest polymorph of the same formula (eV/atom): 0.018
Total magnetic moment (μB/cell): 0.00
Final energy (eV/atom): -2.40
Energy of formation (meV per atom): 54

Unit cell a=3.7121 b=5.6033 c=16.0907 alpha=90.00 beta=90.00 gamma=90.00
With the nearest neighbours (Å) after each atom.
Space group Fmm2 (No. 42)
One atom of each set of equivalent atoms:
Cd 0.0000 0.0000 0.0000 x4  2 In 3.12, 2 Pb 3.23, 4 Cd 3.36
In 0.0000 0.0000 0.6562 x4  2 Cd 3.12, 4 In 3.36, 2 Pb 3.43
Pb 0.0000 0.0000 0.3356 x4  2 Cd 3.23, 4 Pb 3.36, 2 In 3.43